PBE-GGA TlVCdCl6, relaxed; space group = P-31c; calculated total energy = -67.41 eV/cell
1.0
-2.9455 -3.9711 4.4804
3.8857 -2.6293 -4.7443
10.9885 1.2327 8.3167
Cl V Tl Cd
12 2 2 2
Cartesian
7.5848 -1.5766 9.8137
6.2672 -1.3725 0.0153
2.3226 -3.9317 0.9305
6.0974 -0.8228 6.9912
3.0524 -0.9581 -0.4745
8.8762 -4.4097 8.5273
5.6614 -3.9952 8.0375
4.3171 -2.0121 2.6867
9.6060 -1.4361 7.1222
5.8312 -4.5449 1.0616
4.3438 -3.7911 -1.7609
7.6116 -3.3556 5.3660
7.5729 -2.5993 7.6430
4.3557 -2.7684 0.4098
5.4942 0.6164 4.1583
0.0000 0.0000 0.0000
2.0787 -3.2157 3.4847
9.8500 -2.1521 4.5681

=====

PBE-GGA K2Mg2UO6, relaxed; space group = C2/m; calculated total energy = -74.85 eV/cell
1.0
5.5504 0.0062 -0.0091
-2.7379 4.8281 -0.0091
-1.0704 -1.8399 6.3140
O Mg K U
6 2 2 1
Cartesian
0.4685 3.9480 2.0607
1.3685 2.3522 4.2138
0.3736 0.6422 2.0820
-1.4584 0.6358 4.2351
1.2735 -0.9536 4.2351
3.2005 2.3587 2.0607
2.2396 0.7010 3.1479
-0.4975 2.2934 3.1479
4.0979 0.8512 -0.0091
-1.2855 3.9831 -0.0091
-0.5352 -0.9199 3.1570

=====

PBE-GGA Sm4AlGe3, relaxed; space group = Pmm2; energy of formation = -0.77 eV per atom; calculated total energy = -42.64 eV/cell
1.0
4.4386 0.0000 0.0000
0.0000 4.0582 0.0000
0.0000 0.0000 11.0799
Ge Sm Al
3 4 1
Cartesian
0.0000 2.0291 6.4613
2.2193 0.0000 10.2058
0.0000 0.0000 4.6680
0.0000 0.0000 1.5766
0.0000 2.0291 9.5143
2.2193 2.0291 4.0201
2.2193 0.0000 7.0738
2.2193 2.0291 0.7996

=====

PBE-GGA NbRh2W, relaxed; space group = P4/mmm; energy of formation = -0.28 eV per atom; calculated total energy = -38.85 eV/cell
1.0
-2.5958 -2.9126 -0.3651
1.3832 -0.7758 -3.6454
2.6374 -2.5437 1.5420
W Rh Nb
1 2 1
Cartesian
-1.2979 -1.4563 -0.1825
1.3187 -1.2719 0.7710
0.6916 -0.3879 -1.8227
0.7124 -3.1161 -1.2342

=====

Repeat the third record exactly.
PBE-GGA Sm4AlGe3, relaxed; space group = Pmm2; energy of formation = -0.77 eV per atom; calculated total energy = -42.64 eV/cell
1.0
4.4386 0.0000 0.0000
0.0000 4.0582 0.0000
0.0000 0.0000 11.0799
Ge Sm Al
3 4 1
Cartesian
0.0000 2.0291 6.4613
2.2193 0.0000 10.2058
0.0000 0.0000 4.6680
0.0000 0.0000 1.5766
0.0000 2.0291 9.5143
2.2193 2.0291 4.0201
2.2193 0.0000 7.0738
2.2193 2.0291 0.7996

=====

> The highest calculated total energy belongs to which entry?

NbRh2W